VASP calculation (PBE) on a relaxed structure of Re2BN.

## Properties
polymorph energy (0 for the lowest one)	0.189	eV/atom
density of states at the Fermi level	10.24	states/eV per cell
uncorrected formation energy	739	meV per atom
total magnetic moment	0.0	Bohr magnetons per cell

abc: 5.4640 5.4640 5.4640
angles: 90.00 90.00 90.00
Space group Fm-3m (No. 225)
Unique sites:
Re 0.2500 0.2500 0.2500 x8
B 0.0000 0.0000 0.0000 x4
N 0.0000 0.0000 0.5000 x4